Entry 1:
# ScCdRe2

An optimized crystal structure of ScCdRe2 (GGA-PBE, the Alexandria database).

Cell and atoms, written as POSCAR:
```
ScCdRe2
1.0
3.232 0.000 0.000
0.000 4.477 0.000
0.000 0.000 9.488
Sc Cd Re
2 2 4
direct
0.000 0.000 0.000
0.500 0.500 0.000
0.000 0.000 0.500
0.500 0.500 0.500
0.000 0.500 0.243
0.000 0.500 0.757
0.500 0.000 0.243
0.500 0.000 0.757
```

Properties
Space group: No. 65
VASP energy, eV per atom: -7.6951
ΔH_f (0 K), eV/atom: 0.341
M_tot, Bohr magnetons per cell: 0.0

Entry 2:
# HfZrPb

An optimized crystal structure of HfZrPb (GGA-PBE, the Alexandria database).

Cell and atoms, written as POSCAR:
```
HfZrPb
1.0
3.742 0.000 0.000
0.000 3.742 0.000
0.000 0.000 9.892
Hf Zr Pb
2 2 2
direct
0.000 0.000 0.000
0.500 0.500 0.500
0.000 0.000 0.331
0.500 0.500 0.831
0.000 0.000 0.665
0.500 0.500 0.165
```

Properties
Space group: No. 107
VASP energy, eV per atom: -7.5230
ΔH_f (0 K), eV/atom: -0.120
Energy above the lowest structure with this stoichiometry, eV per atom: 0.000
M_tot, Bohr magnetons per cell: 0.0

Repeat the first record exactly.
# ScCdRe2

An optimized crystal structure of ScCdRe2 (GGA-PBE, the Alexandria database).

Cell and atoms, written as POSCAR:
```
ScCdRe2
1.0
3.232 0.000 0.000
0.000 4.477 0.000
0.000 0.000 9.488
Sc Cd Re
2 2 4
direct
0.000 0.000 0.000
0.500 0.500 0.000
0.000 0.000 0.500
0.500 0.500 0.500
0.000 0.500 0.243
0.000 0.500 0.757
0.500 0.000 0.243
0.500 0.000 0.757
```

Properties
Space group: No. 65
VASP energy, eV per atom: -7.6951
ΔH_f (0 K), eV/atom: 0.341
M_tot, Bohr magnetons per cell: 0.0

> Look up the ΔH_f (0 K) of the first one.

0.341 eV/atom

Repeat the first record exactly.
# ScCdRe2

An optimized crystal structure of ScCdRe2 (GGA-PBE, the Alexandria database).

Cell and atoms, written as POSCAR:
```
ScCdRe2
1.0
3.232 0.000 0.000
0.000 4.477 0.000
0.000 0.000 9.488
Sc Cd Re
2 2 4
direct
0.000 0.000 0.000
0.500 0.500 0.000
0.000 0.000 0.500
0.500 0.500 0.500
0.000 0.500 0.243
0.000 0.500 0.757
0.500 0.000 0.243
0.500 0.000 0.757
```

Properties
Space group: No. 65
VASP energy, eV per atom: -7.6951
ΔH_f (0 K), eV/atom: 0.341
M_tot, Bohr magnetons per cell: 0.0

Copy entry 1 word for word.
# ScCdRe2

An optimized crystal structure of ScCdRe2 (GGA-PBE, the Alexandria database).

Cell and atoms, written as POSCAR:
```
ScCdRe2
1.0
3.232 0.000 0.000
0.000 4.477 0.000
0.000 0.000 9.488
Sc Cd Re
2 2 4
direct
0.000 0.000 0.000
0.500 0.500 0.000
0.000 0.000 0.500
0.500 0.500 0.500
0.000 0.500 0.243
0.000 0.500 0.757
0.500 0.000 0.243
0.500 0.000 0.757
```

Properties
Space group: No. 65
VASP energy, eV per atom: -7.6951
ΔH_f (0 K), eV/atom: 0.341
M_tot, Bohr magnetons per cell: 0.0